No. 1
The following is a PBE-GGA calculation of crystalline ZnNi3Mo at its relaxed geometry, from Alexandria.

Crystal system ... cubic
Calculated volume ... 77 Å³/cell
E_tot ... -4.777 eV per atom

a = 4.251 Å, b = 4.251 Å, c = 4.251 Å
α = 90.00°, β = 90.00°, γ = 90.00°
Each line ends with the local moment (μB).
Fractional positions:
Ni: 0.000 0.500 0.000  0.44
Ni: 0.000 0.000 0.500  0.26
Ni: 0.500 0.000 0.000  0.69
Mo: 0.500 0.500 0.500  2.27
Zn: 0.000 0.000 0.000  -0.04


No. 2
The following is a PBE-GGA calculation of crystalline ZnNi2Mo at its relaxed geometry, from Alexandria.

Crystal system ... tetragonal
Calculated volume ... 112 Å³/cell
E_tot ... -5.401 eV per atom

a = 6.588 Å, b = 6.588 Å, c = 5.325 Å
α = 51.79°, β = 51.79°, γ = 90.00°
Fractional positions:
Ni: 0.624 0.125 0.250
Ni: 0.126 0.625 0.250
Ni: 0.375 0.376 0.750
Ni: 0.875 0.874 0.750
Mo: 0.000 0.000 0.000
Mo: 0.750 0.250 0.500
Zn: 0.500 0.500 0.000
Zn: 0.250 0.750 0.500


No. 3
The following is a PBE-GGA calculation of crystalline ZnNiMo2 at its relaxed geometry, from Alexandria.

Crystal system ... orthorhombic
Calculated volume ... 56 Å³/cell
E_tot ... -7.127 eV per atom

a = 4.937 Å, b = 4.937 Å, c = 4.937 Å
α = 138.25°, β = 134.57°, γ = 63.39°
Fractional positions:
Mo: 0.999 0.999 0.000
Mo: 0.501 0.501 0.000
Ni: 0.750 0.250 0.500
Zn: 0.250 0.750 0.500


No. 4
The following is a PBE-GGA calculation of crystalline Zn2Ni9Mo at its relaxed geometry, from Alexandria.

Crystal system ... tetragonal
Calculated volume ... 139 Å³/cell
E_tot ... -5.581 eV per atom

a = 3.598 Å, b = 3.598 Å, c = 10.756 Å
α = 90.00°, β = 90.00°, γ = 90.00°
Each line ends with the local moment (μB).
Fractional positions:
Zn: 0.000 0.000 0.336  -0.01
Zn: 0.000 0.000 0.664  -0.01
Ni: 0.500 0.500 0.000  -0.01
Ni: 0.500 0.500 0.334  0.29
Ni: 0.500 0.500 0.666  0.29
Ni: 0.500 0.000 0.166  0.06
Ni: 0.500 0.000 0.500  0.40
Ni: 0.500 0.000 0.834  0.06
Ni: 0.000 0.500 0.166  0.06
Ni: 0.000 0.500 0.500  0.40
Ni: 0.000 0.500 0.834  0.06
Mo: 0.000 0.000 0.000  -0.07


What did we get for formation enthalpy at 0 K? Answer: 107.4, 49.8, 5.0, -12.5 kJ per mole of atoms, in the order shown.
What did we get for total magnetization? Answer: 4.0, 0.0, 0.0, 1.4 μB/cell, in the order shown.